The following is a GGA-PBE calculation of a geometry-optimized Na2CaGe structure, from Alexandria via LeMat-Bulk.

Cell lengths 4.434, 4.434, 23.350 Å; angles 90.00, 90.00, 90.00 degrees
Space group I-42d (No. 122)
Asymmetric unit:
Na (0.213, 0.250, 0.125) (multiplicity 8)
Ca (0.000, 0.000, 0.500) (multiplicity 4)
Ge (0.000, 0.000, 0.000) (multiplicity 4)

The calculation puts the formation enthalpy at 0 K at -0.1 eV per formula unit.

---

The following is a GGA-PBE calculation of a geometry-optimized Ca2Ga2Pb structure, from Alexandria via LeMat-Bulk.

Cell lengths 4.861, 4.861, 12.217 Å; angles 90.00, 90.00, 90.00 degrees
Space group I4/mmm (No. 139)
Asymmetric unit:
Ca (0.000, 0.500, 0.250) (multiplicity 4)
Ga (0.000, 0.000, 0.097) (multiplicity 4)
Pb (0.000, 0.000, 0.500) (multiplicity 2)

The calculation puts the formation enthalpy at 0 K at -0.8 eV per formula unit. The value obtained for the distance to the lowest polymorph of the same formula is 0.299 eV/atom.

---

The following is a GGA-PBE calculation of a geometry-optimized CaDy2IrO8 structure, from Alexandria via LeMat-Bulk.

Cell lengths 5.028, 6.890, 5.036 Å; angles 90.00, 90.46, 90.00 degrees
Space group P2/m (No. 10)
Asymmetric unit:
Ca (0.000, 0.000, 0.000) (multiplicity 1)
Dy (0.500, 0.244, 0.500) (multiplicity 2)
Ir (0.000, 0.500, 0.000) (multiplicity 1)
O (0.185, 0.302, 0.816) (multiplicity 4)
O (0.269, 0.500, 0.270) (multiplicity 2)
O (0.311, 0.000, 0.313) (multiplicity 2)

The total energy comes out at -84.95 eV/f.u.

---

The following is a GGA-PBE calculation of a geometry-optimized La2PbW structure, from Alexandria via LeMat-Bulk.

Cell lengths 6.970, 9.470, 3.252 Å; angles 90.00, 90.00, 90.00 degrees
Space group Cmmm (No. 65)
Asymmetric unit:
La (0.250, 0.250, 0.000) (multiplicity 4)
Pb (0.000, 0.000, 0.500) (multiplicity 2)
W (0.000, 0.500, 0.500) (multiplicity 2)

The calculation puts the formation enthalpy at 0 K at 1.4 eV per formula unit.

---

The following is a GGA-PBE calculation of a geometry-optimized PmSmAs2 structure, from Alexandria via LeMat-Bulk.

Cell lengths 4.2296, 4.2296, 20.6861 Å; angles 90.00, 90.00, 120.00 degrees
Space group R-3m (No. 166, hexagonal axes)
Asymmetric unit:
Pm (0.0000, 0.0000, 0.0000) (multiplicity 3)
Sm (0.0000, 0.0000, 0.5000) (multiplicity 3)
As (0.0000, 0.0000, 0.2495) (multiplicity 6)

The calculation puts the formation enthalpy at 0 K at -6.1 eV per formula unit. The value obtained for the distance to the lowest polymorph of the same formula is 0.000 eV/atom.

---

The following is a GGA-PBE calculation of a geometry-optimized CeCdSn4 structure, from Alexandria via LeMat-Bulk.

Cell lengths 8.756, 8.756, 8.756 Å; angles 90.00, 90.00, 90.00 degrees
Space group F-43m (No. 216)
Asymmetric unit:
Ce (0.000, 0.000, 0.000) (multiplicity 4)
Cd (0.250, 0.250, 0.250) (multiplicity 4)
Sn (0.125, 0.125, 0.625) (multiplicity 16)

The calculation puts the formation enthalpy at 0 K at -0.9 eV per formula unit.

---

The following is a GGA-PBE calculation of a geometry-optimized Re2HgMo structure, from Alexandria via LeMat-Bulk.

Cell lengths 6.404, 6.404, 6.404 Å; angles 90.00, 90.00, 90.00 degrees
Space group F-43m (No. 216)
Asymmetric unit:
Re (0.000, 0.000, 0.000) (multiplicity 4)
Re (0.250, 0.250, 0.250) (multiplicity 4)
Hg (0.000, 0.000, 0.500) (multiplicity 4)
Mo (0.250, 0.250, 0.750) (multiplicity 4)

The calculation puts the formation enthalpy at 0 K at 3.0 eV per formula unit.

---

The following is a GGA-PBE calculation of a geometry-optimized Pu2BeSi3Ni4 structure, from Alexandria via LeMat-Bulk.

Cell lengths 3.939, 3.939, 9.478 Å; angles 90.00, 90.00, 90.00 degrees
Space group P-4m2 (No. 115)
Asymmetric unit:
Pu (0.000, 0.500, 0.244) (multiplicity 2)
Be (0.500, 0.500, 0.000) (multiplicity 1)
Si (0.000, 0.000, 0.000) (multiplicity 1)
Si (0.000, 0.500, 0.632) (multiplicity 2)
Ni (0.000, 0.000, 0.500) (multiplicity 1)
Ni (0.000, 0.500, 0.877) (multiplicity 2)
Ni (0.500, 0.500, 0.500) (multiplicity 1)

The total energy comes out at -77.29 eV/f.u.

---

Ordered magnetic moment results: 0.0 0.0 0.9 0.0 0.0 4.2 0.0 10.4; unit μB/cell.